Record 1
## Tb4NdSn2 (PBE-GGA)

Data for a geometry-optimized Tb4NdSn2 structure.

Lattice parameters (Å, degrees): 8.954 8.954 8.954 145.06 145.06 50.25
Fractional positions:
Tb 0.000 0.500 0.500
Tb 0.184 0.184 0.000
Tb 0.500 0.000 0.500
Tb 0.816 0.816 0.000
Nd 0.000 0.000 0.000
Sn 0.371 0.371 0.000
Sn 0.629 0.629 0.000

Output
final energy = -28.727 eV per cell
crystal system = tetragonal
symmetry = I4/mmm


Record 2
## TbNdSn (PBE-GGA)

Data for a geometry-optimized TbNdSn structure.

Lattice parameters (Å, degrees): 4.386 4.386 10.079 90.00 90.00 90.00
Fractional positions:
Tb 0.250 0.250 0.094
Tb 0.750 0.750 0.906
Nd 0.250 0.250 0.709
Nd 0.750 0.750 0.291
Sn 0.250 0.250 0.398
Sn 0.750 0.750 0.602

Output
final energy = -27.978 eV per cell
energy above the lowest structure with this stoichiometry = 120 kJ/mol of formula units
crystal system = tetragonal
symmetry = P4/nmm


Record 3
## TbNd6Sn4 (PBE-GGA)

Data for a geometry-optimized TbNd6Sn4 structure.

Lattice parameters (Å, degrees): 8.306 8.306 8.306 122.04 122.04 86.50
Fractional positions:
Tb 0.000 0.000 0.000
Nd 0.000 0.500 0.500
Nd 0.176 0.176 0.681
Nd 0.495 0.495 0.319
Nd 0.500 0.000 0.500
Nd 0.505 0.824 0.000
Nd 0.824 0.505 0.000
Sn 0.171 0.631 0.000
Sn 0.369 0.369 0.540
Sn 0.631 0.171 0.000
Sn 0.829 0.829 0.460

Output
final energy = -53.225 eV per cell
crystal system = tetragonal
symmetry = I-42m


Record 4
## TbNdSn (PBE-GGA)

Data for a geometry-optimized TbNdSn structure.

Lattice parameters (Å, degrees): 9.101 9.101 9.101 158.65 158.65 30.38
Fractional positions:
Tb 0.000 0.000 0.000
Nd 0.196 0.196 0.000
Sn 0.376 0.376 0.000

Output
final energy = -13.099 eV per cell
energy above the lowest structure with this stoichiometry = 206 kJ/mol of formula units
crystal system = tetragonal
symmetry = I4mm


Record 5
## Tb2NdSn (PBE-GGA)

Data for a geometry-optimized Tb2NdSn structure.

Lattice parameters (Å, degrees): 4.107 4.107 7.071 90.00 90.00 90.00
Fractional positions:
Tb 0.000 0.000 0.218
Tb 0.000 0.000 0.782
Nd 0.500 0.500 0.500
Sn 0.500 0.500 0.000

Output
final energy = -19.318 eV per cell
energy above the lowest structure with this stoichiometry = 42 kJ/mol of formula units
crystal system = tetragonal
symmetry = P4/mmm


Record 6
## Tb3Nd4Sn4 (PBE-GGA)

Data for a geometry-optimized Tb3Nd4Sn4 structure.

Lattice parameters (Å, degrees): 10.895 10.895 10.895 161.10 127.31 56.48
Fractional positions:
Tb 0.000 0.000 0.000
Tb 0.410 0.910 0.500
Tb 0.590 0.090 0.500
Nd 0.013 0.337 0.676
Nd 0.340 0.663 0.676
Nd 0.660 0.337 0.324
Nd 0.987 0.663 0.324
Sn 0.276 0.276 0.000
Sn 0.279 0.500 0.779
Sn 0.721 0.500 0.221
Sn 0.724 0.724 0.000

Output
final energy = -55.141 eV per cell
crystal system = orthorhombic
symmetry = Immm


Record 7
## TbNdSn6 (PBE-GGA)

Data for a geometry-optimized TbNdSn6 structure.

Lattice parameters (Å, degrees): 4.749 4.749 9.502 90.00 90.00 90.00
Fractional positions:
Tb 0.000 0.000 0.000
Nd 0.000 0.000 0.500
Sn 0.000 0.500 0.246
Sn 0.000 0.500 0.754
Sn 0.500 0.000 0.246
Sn 0.500 0.000 0.754
Sn 0.500 0.500 0.000
Sn 0.500 0.500 0.500

Output
final energy = -37.149 eV per cell
crystal system = tetragonal
symmetry = P4/mmm


Record 8
## TbNd12Sn3 (PBE-GGA)

Data for a geometry-optimized TbNd12Sn3 structure.

Lattice parameters (Å, degrees): 4.979 4.979 20.275 90.00 90.00 90.00
Fractional positions:
Tb 0.000 0.000 0.000
Nd 0.000 0.500 0.133
Nd 0.000 0.500 0.379
Nd 0.000 0.500 0.621
Nd 0.000 0.500 0.867
Nd 0.500 0.000 0.133
Nd 0.500 0.000 0.379
Nd 0.500 0.000 0.621
Nd 0.500 0.000 0.867
Nd 0.500 0.500 0.000
Nd 0.500 0.500 0.257
Nd 0.500 0.500 0.500
Nd 0.500 0.500 0.743
Sn 0.000 0.000 0.256
Sn 0.000 0.000 0.500
Sn 0.000 0.000 0.744

Output
final energy = -79.010 eV per cell
crystal system = tetragonal
symmetry = P4/mmm


Record 9
## Tb2NdSn (PBE-GGA)

Data for a geometry-optimized Tb2NdSn structure.

Lattice parameters (Å, degrees): 5.481 5.481 5.481 60.00 60.00 60.00
Fractional positions:
Tb 0.000 0.000 0.000
Tb 0.250 0.250 0.250
Nd 0.750 0.750 0.750
Sn 0.500 0.500 0.500

Output
final energy = -19.028 eV per cell
energy above the lowest structure with this stoichiometry = 70 kJ/mol of formula units
crystal system = cubic
symmetry = F-43m


Record 10
## Tb8Nd6Sn (PBE-GGA)

Data for a geometry-optimized Tb8Nd6Sn structure.

Lattice parameters (Å, degrees): 9.428 9.428 6.522 90.00 90.00 120.00
Fractional positions:
Tb 0.038 0.262 0.185
Tb 0.224 0.962 0.185
Tb 0.262 0.224 0.815
Tb 0.333 0.667 0.152
Tb 0.667 0.333 0.848
Tb 0.738 0.776 0.185
Tb 0.776 0.038 0.815
Tb 0.962 0.738 0.815
Nd 0.090 0.448 0.678
Nd 0.357 0.910 0.678
Nd 0.448 0.357 0.322
Nd 0.552 0.643 0.678
Nd 0.643 0.090 0.322
Nd 0.910 0.552 0.322
Sn 0.000 0.000 0.500

Output
final energy = -69.215 eV per cell
crystal system = trigonal
symmetry = P-3


Record 11
## TbNd5Sn4 (PBE-GGA)

Data for a geometry-optimized TbNd5Sn4 structure.

Lattice parameters (Å, degrees): 8.724 8.724 7.283 90.56 90.56 36.29
Fractional positions:
Tb 0.000 0.000 0.000
Nd 0.000 0.000 0.500
Nd 0.333 0.333 0.993
Nd 0.334 0.334 0.503
Nd 0.666 0.666 0.497
Nd 0.667 0.667 0.007
Sn 0.174 0.174 0.249
Sn 0.492 0.492 0.243
Sn 0.508 0.508 0.757
Sn 0.826 0.826 0.751

Output
final energy = -50.038 eV per cell
crystal system = monoclinic
symmetry = C2/m


Record 12
## Tb2Nd3Sn2 (PBE-GGA)

Data for a geometry-optimized Tb2Nd3Sn2 structure.

Lattice parameters (Å, degrees): 8.932 8.932 7.932 115.06 115.06 22.79
Fractional positions:
Tb 0.088 0.088 0.199
Tb 0.912 0.912 0.801
Nd 0.000 0.000 0.500
Nd 0.220 0.220 0.715
Nd 0.780 0.780 0.285
Sn 0.398 0.398 0.118
Sn 0.602 0.602 0.882

Output
final energy = -33.629 eV per cell
crystal system = monoclinic
symmetry = C2/m


What are the magnetization values for these records? In order: 0.0002 0.0001 0.0002 0.0001 0.0000 0.0000 0.0000 0.0000 0.0000 0.0000 0.0000 0.0005 μB/atom.